[1]
A plane-wave DFT calculation with PBE was carried out for a relaxed Dy3Bi2Se crystal.

Computed properties:
- energy above the lowest structure with this stoichiometry (eV/atom) = 0.2406
- raw formation energy (meV per atom) = -897

```
Dy3Bi2Se
1.0
6.112 0.000 0.000
0.000 9.029 -0.075
0.000 -4.489 7.834
Dy Bi Se
6 4 2
Direct
0.993 0.518 0.829
0.493 0.482 0.171
0.993 0.829 0.518
0.993 0.155 0.155
0.493 0.845 0.845
0.493 0.171 0.482
0.493 0.839 0.504
0.493 0.504 0.839
0.993 0.496 0.161
0.993 0.161 0.496
0.493 0.159 0.159
0.993 0.841 0.841
```

=====

[2]
A plane-wave DFT calculation with PBE was carried out for a relaxed TcAuF2 crystal.

Computed properties:
- energy above the lowest structure with this stoichiometry (eV/atom) = 0.0000
- raw formation energy (meV per atom) = -898

```
TcAuF2
1.0
4.578 0.090 9.239
5.925 2.210 8.145
3.494 2.604 9.346
Tc F Au
1 2 1
Direct
0.000 0.000 0.000
0.939 0.939 0.939
0.061 0.061 0.061
0.500 0.500 0.500
```

=====

[3]
A plane-wave DFT calculation with PBE was carried out for a relaxed Zn2GePb crystal.

Computed properties:
- energy above the lowest structure with this stoichiometry (eV/atom) = 0.0000

```
Zn2GePb
1.0
-3.887 -1.409 -0.939
-1.176 -3.906 1.155
-3.586 0.234 4.923
Zn Pb Ge
2 1 1
Direct
0.724 0.724 0.828
0.276 0.276 0.172
0.500 0.500 0.500
0.000 0.000 0.000
```

=====

[4]
A plane-wave DFT calculation with PBE was carried out for a relaxed Y2RhBr crystal.

Computed properties:
- energy above the lowest structure with this stoichiometry (eV/atom) = 0.2003
- raw formation energy (meV per atom) = -862

```
Y2RhBr
1.0
-7.202 -1.815 3.570
-4.871 -6.227 2.325
7.251 3.854 -0.687
Y Br Rh
2 1 1
Direct
0.072 0.072 0.000
0.779 0.279 0.500
0.449 0.449 0.000
0.200 0.700 0.500
```